The following is a GGA-PBE calculation of a relaxed Pm5Pr2Er2 crystal, from the Alexandria database.

a b c (Å): 11.989 6.853 10.197
angles (deg): 109.64 126.01 90.00
Atoms (fractional coordinates):
Er: 0.258 0.349 0.500
Er: 0.000 0.030 0.000
Er: 0.742 0.849 0.500
Er: 0.500 0.530 0.000
Pm: 0.197 0.156 0.894
Pm: 0.992 0.160 0.500
Pm: 0.197 0.656 0.894
Pm: 0.591 0.236 0.714
Pm: 0.377 0.022 0.286
Pm: 0.409 0.522 0.286
Pm: 0.803 0.262 0.106
Pm: 0.803 0.762 0.106
Pm: 0.623 0.736 0.714
Pm: 0.008 0.660 0.500
Pr: 0.377 0.934 0.748
Pr: 0.623 0.187 0.252
Pr: 0.871 0.434 0.748
Pr: 0.129 0.687 0.252

## Properties
Distance to the lowest polymorph of the same formula ... 185.1 meV/atom
SG ... No. 46

The following is a GGA-PBE calculation of a relaxed Pm2Pr12Er5 crystal, from the Alexandria database.

a b c (Å): 10.295 11.646 6.191
angles (deg): 94.35 90.00 116.23
Atoms (fractional coordinates):
Pm: 0.703 0.000 0.000
Pm: 0.297 0.000 0.000
Pr: 0.606 0.581 0.827
Pr: 0.323 0.239 0.617
Pr: 0.919 0.837 0.937
Pr: 0.429 0.858 0.603
Pr: 0.975 0.581 0.827
Pr: 0.081 0.163 0.063
Pr: 0.571 0.142 0.397
Pr: 0.915 0.239 0.617
Pr: 0.394 0.419 0.173
Pr: 0.677 0.761 0.383
Pr: 0.025 0.419 0.173
Pr: 0.085 0.761 0.383
Er: 0.642 0.283 0.908
Er: 0.743 0.485 0.356
Er: 0.000 0.000 0.500
Er: 0.257 0.515 0.644
Er: 0.358 0.717 0.092

## Properties
Distance to the lowest polymorph of the same formula ... 84.7 meV/atom
SG ... No. 12

The following is a GGA-PBE calculation of a relaxed Pm4Pr8Er3 crystal, from the Alexandria database.

a b c (Å): 7.099 7.099 12.770
angles (deg): 73.86 73.86 60.00
Atoms (fractional coordinates):
Pr: 0.245 0.245 0.264
Pr: 0.750 0.247 0.254
Pr: 0.247 0.750 0.254
Pr: 0.250 0.250 0.746
Pr: 0.250 0.753 0.746
Pr: 0.755 0.755 0.736
Pr: 0.753 0.250 0.746
Pr: 0.750 0.750 0.254
Er: 0.500 0.000 0.500
Er: 0.000 0.500 0.500
Er: 0.000 0.000 0.500
Pm: 0.500 0.500 0.500
Pm: 0.664 0.664 0.008
Pm: 0.000 0.000 0.000
Pm: 0.336 0.336 0.992

## Properties
Distance to the lowest polymorph of the same formula ... 0.0 meV/atom
SG ... No. 166

The following is a GGA-PBE calculation of a relaxed Pm8PrEr3 crystal, from the Alexandria database.

a b c (Å): 8.759 8.759 8.759
angles (deg): 97.20 135.62 99.20
Atoms (fractional coordinates):
Pm: 0.503 0.266 0.237
Pm: 0.028 0.266 0.763
Pm: 0.165 0.914 0.748
Pm: 0.835 0.583 0.748
Pm: 0.166 0.417 0.252
Pm: 0.497 0.734 0.763
Pm: 0.834 0.086 0.252
Pm: 0.972 0.734 0.237
Er: 0.500 0.268 0.768
Er: 0.500 0.732 0.232
Er: 0.000 0.500 0.500
Pr: 0.000 0.000 0.000

## Properties
SG ... No. 71

The following is a GGA-PBE calculation of a relaxed Pm4PrEr5 crystal, from the Alexandria database.

a b c (Å): 6.271 7.943 7.943
angles (deg): 81.03 66.75 66.75
Atoms (fractional coordinates):
Er: 0.097 0.620 0.080
Er: 0.718 0.080 0.380
Er: 0.178 0.920 0.620
Er: 0.683 0.000 0.000
Er: 0.798 0.380 0.920
Pm: 0.803 0.698 0.602
Pm: 0.502 0.602 0.302
Pm: 0.406 0.398 0.698
Pm: 0.104 0.302 0.398
Pr: 0.221 0.000 0.000

## Properties
Distance to the lowest polymorph of the same formula ... 90.3 meV/atom
SG ... No. 79

The following is a GGA-PBE calculation of a relaxed Pm9Pr11Er4 crystal, from the Alexandria database.

a b c (Å): 3.699 15.760 15.760
angles (deg): 113.94 90.00 90.00
Atoms (fractional coordinates):
Pm: 0.500 0.373 0.834
Pm: 0.500 0.213 0.063
Pm: 0.500 0.063 0.213
Pm: 0.500 0.627 0.166
Pm: 0.500 0.937 0.787
Pm: 0.500 0.166 0.627
Pm: 0.500 0.500 0.500
Pm: 0.500 0.787 0.937
Pm: 0.500 0.834 0.373
Pr: 0.000 0.402 0.041
Pr: 0.000 0.041 0.402
Pr: 0.000 0.630 0.370
Pr: 0.000 0.000 0.000
Pr: 0.000 0.164 0.836
Pr: 0.000 0.710 0.710
Pr: 0.000 0.598 0.959
Pr: 0.000 0.370 0.630
Pr: 0.000 0.959 0.598
Pr: 0.000 0.290 0.290
Pr: 0.000 0.836 0.164
Er: 0.500 0.558 0.761
Er: 0.500 0.442 0.239
Er: 0.500 0.239 0.442
Er: 0.500 0.761 0.558

## Properties
SG ... No. 65

The following is a GGA-PBE calculation of a relaxed Pm2PrEr crystal, from the Alexandria database.

a b c (Å): 3.640 3.640 12.004
angles (deg): 81.28 81.28 60.00
Atoms (fractional coordinates):
Pm: 0.081 0.081 0.757
Pm: 0.252 0.252 0.243
Er: 0.667 0.667 0.000
Pr: 0.500 0.500 0.500

## Properties
Distance to the lowest polymorph of the same formula ... 4.2 meV/atom
SG ... No. 160

The following is a GGA-PBE calculation of a relaxed Pm7Pr2Er crystal, from the Alexandria database.

a b c (Å): 3.574 10.336 10.336
angles (deg): 109.00 90.00 90.00
Atoms (fractional coordinates):
Pm: 0.000 0.675 0.325
Pm: 0.500 0.621 0.871
Pm: 0.500 0.379 0.129
Pm: 0.500 0.500 0.500
Pm: 0.000 0.325 0.675
Pm: 0.500 0.871 0.621
Pm: 0.500 0.129 0.379
Er: 0.000 0.000 0.000
Pr: 0.500 0.829 0.171
Pr: 0.500 0.171 0.829

## Properties
Distance to the lowest polymorph of the same formula ... 233.6 meV/atom
SG ... No. 65

The following is a GGA-PBE calculation of a relaxed Pm7Pr4Er crystal, from the Alexandria database.

a b c (Å): 7.355 9.730 9.158
angles (deg): 81.19 90.07 40.96
Atoms (fractional coordinates):
Pm: 0.500 0.000 0.000
Pm: 0.252 0.500 0.000
Pm: 0.218 0.782 0.669
Pm: 0.032 0.721 0.328
Pm: 0.968 0.279 0.672
Pm: 0.748 0.500 0.000
Pm: 0.782 0.218 0.331
Pr: 0.472 0.280 0.670
Pr: 0.722 0.778 0.669
Pr: 0.528 0.720 0.330
Pr: 0.278 0.222 0.331
Er: 0.000 0.000 0.000

## Properties
Distance to the lowest polymorph of the same formula ... 0.0 meV/atom
SG ... No. 2

The following is a GGA-PBE calculation of a relaxed Pm6PrEr4 crystal, from the Alexandria database.

a b c (Å): 5.849 5.660 25.879
angles (deg): 90.00 90.00 121.11
Atoms (fractional coordinates):
Pm: 0.800 0.601 0.401
Pm: 0.200 0.399 0.901
Pm: 0.500 0.000 0.000
Pm: 0.500 0.000 0.500
Pm: 0.549 0.097 0.750
Pm: 0.124 0.247 0.181
Pm: 0.876 0.753 0.681
Pm: 0.200 0.399 0.599
Pm: 0.124 0.247 0.319
Pm: 0.800 0.601 0.099
Pm: 0.451 0.903 0.250
Pm: 0.876 0.753 0.819
Er: 0.849 0.698 0.543
Er: 0.151 0.302 0.457
Er: 0.151 0.302 0.043
Er: 0.542 0.085 0.623
Er: 0.542 0.085 0.877
Er: 0.458 0.915 0.377
Er: 0.458 0.915 0.123
Er: 0.849 0.698 0.957
Pr: 0.790 0.580 0.250
Pr: 0.210 0.420 0.750

## Properties
Distance to the lowest polymorph of the same formula ... 0.0 meV/atom
SG ... No. 63

The following is a GGA-PBE calculation of a relaxed PmPr8Er3 crystal, from the Alexandria database.

a b c (Å): 6.198 8.968 12.062
angles (deg): 91.63 133.16 66.66
Atoms (fractional coordinates):
Pr: 0.841 0.852 0.545
Pr: 0.643 0.609 0.972
Pr: 0.949 0.871 0.215
Pr: 0.364 0.384 0.033
Pr: 0.166 0.151 0.452
Pr: 0.850 0.862 0.874
Pr: 0.141 0.135 0.122
Pr: 0.050 0.125 0.785
Pm: 0.547 0.602 0.626
Er: 0.283 0.379 0.706
Er: 0.712 0.615 0.292
Er: 0.453 0.386 0.372

## Properties
SG ... No. 1

The following is a GGA-PBE calculation of a relaxed PmPrEr crystal, from the Alexandria database.

a b c (Å): 3.617 6.488 9.387
angles (deg): 69.75 86.42 80.00
Atoms (fractional coordinates):
Pr: 0.432 0.642 0.723
Pr: 0.426 0.008 0.991
Pm: 0.930 0.465 0.079
Pm: 0.929 0.186 0.635
Er: 0.274 0.599 0.358
Er: 0.584 0.052 0.357

## Properties
Distance to the lowest polymorph of the same formula ... 56.1 meV/atom
SG ... No. 2

The following is a GGA-PBE calculation of a relaxed Pm6Pr12Er crystal, from the Alexandria database.

a b c (Å): 8.939 8.939 8.939
angles (deg): 97.78 97.78 97.78
Atoms (fractional coordinates):
Pm: 0.139 0.406 0.138
Pm: 0.861 0.594 0.862
Pm: 0.594 0.862 0.861
Pm: 0.406 0.138 0.139
Pm: 0.138 0.139 0.406
Pm: 0.862 0.861 0.594
Er: 0.000 0.000 0.000
Pr: 0.417 0.417 0.830
Pr: 0.738 0.000 0.262
Pr: 0.262 0.738 0.000
Pr: 0.262 0.000 0.738
Pr: 0.830 0.417 0.417
Pr: 0.170 0.583 0.583
Pr: 0.583 0.170 0.583
Pr: 0.000 0.738 0.262
Pr: 0.417 0.830 0.417
Pr: 0.000 0.262 0.738
Pr: 0.583 0.583 0.170
Pr: 0.738 0.262 0.000

## Properties
Distance to the lowest polymorph of the same formula ... 0.0 meV/atom
SG ... No. 166

The following is a GGA-PBE calculation of a relaxed Pm2Pr5Er2 crystal, from the Alexandria database.

a b c (Å): 11.948 6.939 10.234
angles (deg): 109.82 125.71 90.00
Atoms (fractional coordinates):
Pr: 0.003 0.658 0.500
Pr: 0.997 0.158 0.500
Pr: 0.190 0.661 0.895
Pr: 0.590 0.233 0.714
Pr: 0.795 0.266 0.105
Pr: 0.624 0.733 0.714
Pr: 0.205 0.161 0.895
Pr: 0.410 0.519 0.286
Pr: 0.376 0.019 0.286
Pr: 0.810 0.766 0.105
Pm: 0.869 0.424 0.746
Pm: 0.377 0.924 0.746
Pm: 0.131 0.677 0.254
Pm: 0.623 0.177 0.254
Er: 0.000 0.044 0.000
Er: 0.741 0.853 0.500
Er: 0.259 0.353 0.500
Er: 0.500 0.544 0.000

## Properties
Distance to the lowest polymorph of the same formula ... 193.6 meV/atom
SG ... No. 46

The following is a GGA-PBE calculation of a relaxed Pm5Pr5Er2 crystal, from the Alexandria database.

a b c (Å): 5.163 8.179 10.967
angles (deg): 72.58 76.39 71.60
Atoms (fractional coordinates):
Er: 0.916 0.416 0.752
Er: 0.084 0.584 0.248
Pr: 0.835 0.830 0.499
Pr: 0.000 0.000 0.000
Pr: 0.165 0.170 0.501
Pr: 0.252 0.747 0.750
Pr: 0.748 0.253 0.250
Pm: 0.500 0.500 0.500
Pm: 0.581 0.086 0.751
Pm: 0.333 0.334 0.000
Pm: 0.419 0.914 0.249
Pm: 0.667 0.666 0.000

## Properties
SG ... No. 12

The following is a GGA-PBE calculation of a relaxed Pm5Pr12Er2 crystal, from the Alexandria database.

a b c (Å): 8.143 9.439 9.439
angles (deg): 69.64 87.07 87.07
Atoms (fractional coordinates):
Pr: 0.102 0.871 0.871
Pr: 0.711 0.447 0.447
Pr: 0.207 0.411 0.960
Pr: 0.207 0.960 0.411
Pr: 0.386 0.168 0.619
Pr: 0.289 0.553 0.553
Pr: 0.386 0.619 0.168
Pr: 0.614 0.381 0.832
Pr: 0.898 0.129 0.129
Pr: 0.793 0.589 0.040
Pr: 0.614 0.832 0.381
Pr: 0.793 0.040 0.589
Pm: 0.481 0.758 0.758
Pm: 0.090 0.343 0.343
Pm: 0.500 0.000 0.000
Pm: 0.910 0.657 0.657
Pm: 0.519 0.242 0.242
Er: 0.000 0.730 0.270
Er: 0.000 0.270 0.730

## Properties
Distance to the lowest polymorph of the same formula ... 0.0 meV/atom
SG ... No. 12

The following is a GGA-PBE calculation of a relaxed Pm8Pr3Er3 crystal, from the Alexandria database.

a b c (Å): 5.755 9.830 9.830
angles (deg): 102.22 73.01 73.01
Atoms (fractional coordinates):
Pr: 0.500 0.000 0.000
Pr: 0.000 0.819 0.181
Pr: 0.000 0.181 0.819
Pm: 0.162 0.441 0.236
Pm: 0.660 0.560 0.120
Pm: 0.660 0.120 0.560
Pm: 0.340 0.440 0.880
Pm: 0.340 0.880 0.440
Pm: 0.162 0.236 0.441
Pm: 0.838 0.764 0.559
Pm: 0.838 0.559 0.764
Er: 0.202 0.798 0.798
Er: 0.500 0.500 0.500
Er: 0.798 0.202 0.202

## Properties
SG ... No. 71

The following is a GGA-PBE calculation of a relaxed Pm2Pr4Er3 crystal, from the Alexandria database.

a b c (Å): 3.636 3.636 27.091
angles (deg): 90.00 90.00 120.00
Atoms (fractional coordinates):
Pr: 0.000 0.000 0.762
Pr: 0.667 0.333 0.431
Pr: 0.667 0.333 0.218
Pr: 0.000 0.000 0.547
Er: 0.000 0.000 0.323
Er: 0.667 0.333 0.654
Er: 0.000 0.000 0.982
Pm: 0.667 0.333 0.085
Pm: 0.667 0.333 0.876

## Properties
Distance to the lowest polymorph of the same formula ... 36.8 meV/atom
SG ... No. 156

Formation enthalpy at 0 K, respectively: 1.828; 3.662; 1.905; 4.123; 2.870; 1.319; 0.082; 3.803; 0.201; 1.246; 0.759; 0.231; 2.241; 1.896; 0.200; 2.260; 1.363; 0.493 eV per formula unit.
N(E_F), respectively: 13.398; 27.047; 24.047; 17.781; 14.375; 31.699; 5.937; 14.604; 16.790; 19.296; 18.132; 4.015; 26.111; 12.881; 18.475; 27.161; 20.389; 16.220 states/eV/f.u..